CsK2AuO | PBE | optimized geometry

Values from the calculation:
uncorrected energy	-29.0	eV/cell
magnetic moment	0.0	μB/f.u.

abc: 4.5907 8.9492 9.1316
angles: 90.00 90.00 104.86
With the nearest neighbours (Å) after each atom.
Sites, in units of the cell vectors:
K (0.8603, 0.7205, 0.4808)  1 O 2.42
K (0.1397, 0.2795, 0.9808)  1 O 2.42
K (0.8603, 0.7205, 0.0192)  1 O 2.42
K (0.1397, 0.2795, 0.5192)  1 O 2.42
Au (0.7232, 0.4464, 0.7500)  6 K 3.41-3.43
Au (0.2768, 0.5536, 0.2500)  6 K 3.41-3.43
Cs (0.5068, 0.0136, 0.2500)  4 O 3.24
Cs (0.4932, 0.9864, 0.7500)  4 O 3.24
O (0.0000, 0.0000, 0.0000)  2 K 2.42
O (0.0000, 0.0000, 0.5000)  2 K 2.42